This record from the Alexandria database describes a relaxed UPaGaPt crystal. The functional is PBE.

Cell: 4.875 4.875 4.875 Å, 60.00 60.00 60.00°
Fractional coordinates of all 4 atoms:
Pa1 0.000 0.000 0.000
U1 0.250 0.250 0.250
Ga1 0.500 0.500 0.500
Pt1 0.750 0.750 0.750

## Properties
- crystal system = cubic
- formation energy (eV per atom) = -0.194